First-principles (PBE) data for a relaxed structure of Zr2InGaAg2, as listed in OQMD via LeMat-Bulk.

Computed properties:
Total magnetization = 0.00 μB/f.u.
Calculated total energy = -4.834 eV per atom
Space-group type = Pm, No. 6
Calculated volume = 528 Å³/cell
Theoretical density = 7.3 g/cm3

Cell lengths 11.109, 4.537, 11.110 Å; angles 90.00, 109.49, 90.00 degrees
Sites, in units of the cell vectors:
Zr1 0.000 0.000 0.000
Zr2 0.120 0.500 0.372
Zr3 0.243 0.000 0.744
Zr4 0.375 0.500 0.120
Zr5 0.504 0.000 0.495
Zr6 0.630 0.500 0.878
Zr7 0.752 0.000 0.250
Zr8 0.875 0.500 0.620
In1 0.249 0.000 0.247
In2 0.374 0.500 0.622
In3 0.500 0.000 0.998
In4 0.751 0.000 0.748
Ga1 0.125 0.500 0.871
Ga2 0.626 0.500 0.373
Ga3 0.876 0.500 0.123
Ga4 0.999 0.000 0.497
Ag1 0.119 0.500 0.621
Ag2 0.244 0.000 0.992
Ag3 0.379 0.500 0.371
Ag4 0.499 0.000 0.748
Ag5 0.631 0.500 0.129
Ag6 0.752 0.000 0.494
Ag7 0.882 0.500 0.877
Ag8 0.996 0.000 0.248